# SnHg2Os2 | Alexandria | PBE-GGA | relaxed
# magnetization	0.000	μB per formula unit
# uncorrected energy	-4.6077	eV/atom
# mass density	13372	kg/m³
data_SnHg2Os2
_chemical_formula_sum 'Sn2 Hg4 Os4'
_symmetry_space_group_name_H-M 'I 4/m m m'
_symmetry_Int_Tables_number 139
_symmetry_space_group_name_Hall '-I 4 2'
_cell_length_a 3.5406
_cell_length_b 3.5406
_cell_length_c 17.8369
_cell_angle_alpha 90.00
_cell_angle_beta 90.00
_cell_angle_gamma 90.00
loop_
_atom_site_label
_atom_site_type_symbol
_atom_site_fract_x
_atom_site_fract_y
_atom_site_fract_z
Sn1 Sn 0.0000 0.0000 0.0000
Hg1 Hg 0.0000 0.0000 0.3853
Os1 Os 0.0000 0.5000 0.2500

# Sn3HgOs | Alexandria | PBE-GGA | relaxed
# magnetization	0.000	μB per formula unit
# uncorrected energy	-4.4573	eV/atom
# mass density	8942	kg/m³
data_Sn3HgOs
_chemical_formula_sum 'Sn3 Hg1 Os1'
_symmetry_space_group_name_H-M 'P m -3 m'
_symmetry_Int_Tables_number 221
_symmetry_space_group_name_Hall '-P 4 2 3'
_cell_length_a 5.1764
_cell_length_b 5.1764
_cell_length_c 5.1764
_cell_angle_alpha 90.00
_cell_angle_beta 90.00
_cell_angle_gamma 90.00
loop_
_atom_site_label
_atom_site_type_symbol
_atom_site_fract_x
_atom_site_fract_y
_atom_site_fract_z
Sn1 Sn 0.0000 0.0000 0.5000
Hg1 Hg 0.5000 0.5000 0.5000
Os1 Os 0.0000 0.0000 0.0000

# SnHg2Os2 | Alexandria | PBE-GGA | relaxed
# magnetization	0.866	μB per formula unit
# uncorrected energy	-4.4674	eV/atom
# mass density	14539	kg/m³
data_SnHg2Os2
_chemical_formula_sum 'Sn2 Hg4 Os4'
_symmetry_space_group_name_H-M 'P 4/m b m'
_symmetry_Int_Tables_number 127
_symmetry_space_group_name_Hall '-P 4 2ab'
_cell_length_a 8.4699
_cell_length_b 8.4699
_cell_length_c 2.8669
_cell_angle_alpha 90.00
_cell_angle_beta 90.00
_cell_angle_gamma 90.00
loop_
_atom_site_label
_atom_site_type_symbol
_atom_site_fract_x
_atom_site_fract_y
_atom_site_fract_z
Sn1 Sn 0.0000 0.0000 0.0000
Hg1 Hg 0.1911 0.3089 0.0000
Os1 Os 0.0995 0.5995 0.5000

# SnHgOs2 | Alexandria | PBE-GGA | relaxed
# magnetization	0.000	μB per formula unit
# uncorrected energy	-5.8434	eV/atom
# mass density	16851	kg/m³
data_SnHgOs2
_chemical_formula_sum 'Sn4 Hg4 Os8'
_symmetry_space_group_name_H-M 'F m -3 m'
_symmetry_Int_Tables_number 225
_symmetry_space_group_name_Hall '-F 4 2 3'
_cell_length_a 6.5095
_cell_length_b 6.5095
_cell_length_c 6.5095
_cell_angle_alpha 90.00
_cell_angle_beta 90.00
_cell_angle_gamma 90.00
loop_
_atom_site_label
_atom_site_type_symbol
_atom_site_fract_x
_atom_site_fract_y
_atom_site_fract_z
Sn1 Sn 0.0000 0.0000 0.0000
Hg1 Hg 0.0000 0.0000 0.5000
Os1 Os 0.2500 0.2500 0.2500

# Sn2HgOs | Alexandria | PBE-GGA | relaxed
# magnetization	0.000	μB per formula unit
# uncorrected energy	-4.1898	eV/atom
# mass density	8376	kg/m³
data_Sn2HgOs
_chemical_formula_sum 'Sn8 Hg4 Os4'
_symmetry_space_group_name_H-M 'I -4 2 d'
_symmetry_Int_Tables_number 122
_symmetry_space_group_name_Hall 'I -4 2bw'
_cell_length_a 5.8427
_cell_length_b 5.8427
_cell_length_c 14.5948
_cell_angle_alpha 90.00
_cell_angle_beta 90.00
_cell_angle_gamma 90.00
loop_
_atom_site_label
_atom_site_type_symbol
_atom_site_fract_x
_atom_site_fract_y
_atom_site_fract_z
Sn1 Sn 0.1724 0.2500 0.1250
Hg1 Hg 0.0000 0.0000 0.5000
Os1 Os 0.0000 0.0000 0.0000

# SnHgOs2 | Alexandria | PBE-GGA | relaxed
# magnetization	0.000	μB per formula unit
# uncorrected energy	-5.6951	eV/atom
# mass density	13962	kg/m³
data_SnHgOs2
_chemical_formula_sum 'Sn4 Hg4 Os8'
_symmetry_space_group_name_H-M 'I -4 2 d'
_symmetry_Int_Tables_number 122
_symmetry_space_group_name_Hall 'I -4 2bw'
_cell_length_a 4.1146
_cell_length_b 4.1146
_cell_length_c 19.6640
_cell_angle_alpha 90.00
_cell_angle_beta 90.00
_cell_angle_gamma 90.00
loop_
_atom_site_label
_atom_site_type_symbol
_atom_site_fract_x
_atom_site_fract_y
_atom_site_fract_z
Sn1 Sn 0.0000 0.0000 0.0000
Hg1 Hg 0.0000 0.0000 0.5000
Os1 Os 0.1554 0.2500 0.6250

# Sn2HgOsW | Alexandria | PBE-GGA | relaxed
# magnetization	3.242	μB per formula unit
# uncorrected energy	-3.9387	eV/atom
# mass density	9731	kg/m³
data_Sn2HgOsW
_chemical_formula_sum 'Sn2 Hg1 Os1 W1'
_symmetry_space_group_name_H-M 'P 4/m m m'
_symmetry_Int_Tables_number 123
_symmetry_space_group_name_Hall '-P 4 2'
_cell_length_a 5.1858
_cell_length_b 5.1858
_cell_length_c 5.1529
_cell_angle_alpha 90.00
_cell_angle_beta 90.00
_cell_angle_gamma 90.00
loop_
_atom_site_label
_atom_site_type_symbol
_atom_site_fract_x
_atom_site_fract_y
_atom_site_fract_z
Sn1 Sn 0.0000 0.5000 0.0000
Hg1 Hg 0.0000 0.0000 0.0000
Os1 Os 0.5000 0.5000 0.5000
W1 W 0.0000 0.0000 0.5000

# Y2SnHgOs | Alexandria | PBE-GGA | relaxed
# magnetization	0.010	μB per formula unit
# uncorrected energy	-4.9428	eV/atom
# mass density	7675	kg/m³
data_Y2SnHgOs
_chemical_formula_sum 'Y2 Sn1 Hg1 Os1'
_symmetry_space_group_name_H-M 'P 4/m m m'
_symmetry_Int_Tables_number 123
_symmetry_space_group_name_Hall '-P 4 2'
_cell_length_a 5.4710
_cell_length_b 5.4710
_cell_length_c 4.9680
_cell_angle_alpha 90.00
_cell_angle_beta 90.00
_cell_angle_gamma 90.00
loop_
_atom_site_label
_atom_site_type_symbol
_atom_site_fract_x
_atom_site_fract_y
_atom_site_fract_z
Y1 Y 0.0000 0.5000 0.0000
Sn1 Sn 0.0000 0.0000 0.5000
Hg1 Hg 0.5000 0.5000 0.0000
Os1 Os 0.5000 0.5000 0.5000

# ZnSn2HgOs | Alexandria | PBE-GGA | relaxed
# magnetization	0.000	μB per formula unit
# uncorrected energy	-3.9934	eV/atom
# mass density	8751	kg/m³
data_ZnSn2HgOs
_chemical_formula_sum 'Zn1 Sn2 Hg1 Os1'
_symmetry_space_group_name_H-M 'P 4/m m m'
_symmetry_Int_Tables_number 123
_symmetry_space_group_name_Hall '-P 4 2'
_cell_length_a 5.1189
_cell_length_b 5.1189
_cell_length_c 5.0233
_cell_angle_alpha 90.00
_cell_angle_beta 90.00
_cell_angle_gamma 90.00
loop_
_atom_site_label
_atom_site_type_symbol
_atom_site_fract_x
_atom_site_fract_y
_atom_site_fract_z
Zn1 Zn 0.0000 0.0000 0.0000
Sn1 Sn 0.0000 0.5000 0.5000
Hg1 Hg 0.5000 0.5000 0.0000
Os1 Os 0.0000 0.0000 0.5000

# SrHg2Os | Alexandria | PBE-GGA | relaxed
# magnetization	0.000	μB per formula unit
# uncorrected energy	-2.9294	eV/atom
# mass density	11852	kg/m³
data_SrHg2Os
_chemical_formula_sum 'Sr2 Hg4 Os2'
_symmetry_space_group_name_H-M 'I m m m'
_symmetry_Int_Tables_number 71
_symmetry_space_group_name_Hall '-I 2 2'
_cell_length_a 3.5837
_cell_length_b 5.1574
_cell_length_c 10.2948
_cell_angle_alpha 90.00
_cell_angle_beta 90.00
_cell_angle_gamma 90.00
loop_
_atom_site_label
_atom_site_type_symbol
_atom_site_fract_x
_atom_site_fract_y
_atom_site_fract_z
Sr1 Sr 0.0000 0.0000 0.0000
Hg1 Hg 0.0000 0.5000 0.2080
Os1 Os 0.0000 0.0000 0.5000

# SrHg2Os | Alexandria | PBE-GGA | relaxed
# magnetization	0.000	μB per formula unit
# uncorrected energy	-2.9026	eV/atom
# mass density	10747	kg/m³
data_SrHg2Os
_chemical_formula_sum 'Sr1 Hg2 Os1'
_symmetry_space_group_name_H-M 'P 1 m 1'
_symmetry_Int_Tables_number 6
_cell_length_a 3.9258
_cell_length_b 4.7299
_cell_length_c 5.6502
_cell_angle_alpha 90.00
_cell_angle_beta 90.12
_cell_angle_gamma 90.00
loop_
_symmetry_equiv_pos_as_xyz
'x,y,z'
'x,-y,z'
loop_
_atom_site_label
_atom_site_type_symbol
_atom_site_fract_x
_atom_site_fract_y
_atom_site_fract_z
Sr1 Sr 0.0000 0.0000 0.0000
Hg1 Hg 0.4991 0.5000 0.7453
Hg2 Hg 0.5017 0.0000 0.4536
Os1 Os 0.5006 0.5000 0.2240

# SrHg2Os | Alexandria | PBE-GGA | relaxed
# magnetization	0.740	μB per formula unit
# uncorrected energy	-2.8933	eV/atom
# mass density	11894	kg/m³
data_SrHg2Os
_chemical_formula_sum 'Sr2 Hg4 Os2'
_symmetry_space_group_name_H-M 'C 1 2/m 1'
_symmetry_Int_Tables_number 12
_cell_length_a 9.7997
_cell_length_b 3.3258
_cell_length_c 5.9358
_cell_angle_alpha 90.00
_cell_angle_beta 101.45
_cell_angle_gamma 90.00
loop_
_symmetry_equiv_pos_as_xyz
'x,y,z'
'-x,-y,-z'
'-x,y,-z'
'x,-y,z'
'x+1/2,y+1/2,z'
'-x+1/2,-y+1/2,-z'
'-x+1/2,y+1/2,-z'
'x+1/2,-y+1/2,z'
loop_
_atom_site_label
_atom_site_type_symbol
_atom_site_fract_x
_atom_site_fract_y
_atom_site_fract_z
Sr1 Sr 0.0000 0.0000 0.0000
Hg1 Hg 0.2334 0.0000 0.6979
Os1 Os 0.0000 0.5000 0.5000

# SrHg2Os | Alexandria | PBE-GGA | relaxed
# magnetization	0.007	μB per formula unit
# uncorrected energy	-2.8268	eV/atom
# mass density	12652	kg/m³
data_SrHg2Os
_chemical_formula_sum 'Sr1 Hg2 Os1'
_symmetry_space_group_name_H-M 'P m m m'
_symmetry_Int_Tables_number 47
_cell_length_a 4.3690
_cell_length_b 4.5056
_cell_length_c 4.5272
_cell_angle_alpha 90.00
_cell_angle_beta 90.00
_cell_angle_gamma 90.00
loop_
_symmetry_equiv_pos_as_xyz
'x,y,z'
'-x,-y,-z'
'-x,-y,z'
'x,y,-z'
'x,-y,-z'
'-x,y,z'
'-x,y,-z'
'x,-y,z'
loop_
_atom_site_label
_atom_site_type_symbol
_atom_site_fract_x
_atom_site_fract_y
_atom_site_fract_z
Sr1 Sr 0.0000 0.0000 0.0000
Hg1 Hg 0.5000 0.0000 0.5000
Hg2 Hg 0.5000 0.5000 0.0000
Os1 Os 0.0000 0.5000 0.5000

# SrHg2Os | Alexandria | PBE-GGA | relaxed
# magnetization	0.690	μB per formula unit
# uncorrected energy	-2.9135	eV/atom
# mass density	12645	kg/m³
data_SrHg2Os
_chemical_formula_sum 'Sr1 Hg2 Os1'
_symmetry_space_group_name_H-M 'P m m m'
_symmetry_Int_Tables_number 47
_cell_length_a 3.1506
_cell_length_b 4.2246
_cell_length_c 6.6996
_cell_angle_alpha 90.00
_cell_angle_beta 90.00
_cell_angle_gamma 90.00
loop_
_symmetry_equiv_pos_as_xyz
'x,y,z'
'-x,-y,-z'
'-x,-y,z'
'x,y,-z'
'x,-y,-z'
'-x,y,z'
'-x,y,-z'
'x,-y,z'
loop_
_atom_site_label
_atom_site_type_symbol
_atom_site_fract_x
_atom_site_fract_y
_atom_site_fract_z
Sr1 Sr 0.0000 0.0000 0.0000
Hg1 Hg 0.5000 0.5000 0.2896
Os1 Os 0.0000 0.0000 0.5000